(1)
# CrTeRu2

A relaxed structure of CrTeRu2 (PBE, Alexandria via LeMat-Bulk).

## Properties
Density of states at the Fermi level (states/eV/f.u.): 3.2
Energy (eV per atom): -7.37
Uncorrected formation energy (eV per atom): 0.46
Volume (Å³/cell): 62.3

Unit cell a=2.995 b=2.995 c=6.942 alpha=90.00 beta=90.00 gamma=90.00
Element x y z (fractional)
1 Ru 0.500 0.500 0.247
2 Ru 0.000 0.000 0.983
3 Te 0.000 0.000 0.497
4 Cr 0.500 0.500 0.772

***

(2)
# NaAcScTe3

A relaxed structure of NaAcScTe3 (PBE, Alexandria via LeMat-Bulk).

## Properties
Density of states at the Fermi level (states/eV/f.u.): 2.7
Energy (eV per atom): -4.71
Uncorrected formation energy (eV per atom): -1.18
Volume (Å³/cell): 366.9

Unit cell a=4.548 b=8.353 c=10.297 alpha=110.29 beta=90.00 gamma=90.00
Element x y z (fractional)
1 Sc 0.750 0.313 0.848
2 Sc 0.250 0.687 0.152
3 Te 0.750 0.915 0.121
4 Te 0.750 0.455 0.148
5 Te 0.750 0.297 0.525
6 Te 0.250 0.545 0.852
7 Te 0.250 0.703 0.475
8 Te 0.250 0.085 0.879
9 Ac 0.750 0.759 0.742
10 Ac 0.250 0.241 0.258
11 Na 0.750 0.895 0.405
12 Na 0.250 0.105 0.595

***

(3)
# NaCr3Cu

A relaxed structure of NaCr3Cu (PBE, Alexandria via LeMat-Bulk).

## Properties
Density of states at the Fermi level (states/eV/f.u.): 4.3
Energy (eV per atom): -5.64
Energy relative to the lowest polymorph listed for this composition (eV/atom): 0.0000
Volume (Å³/cell): 113.1

Unit cell a=4.836 b=4.836 c=4.836 alpha=90.00 beta=90.00 gamma=90.00
Element x y z (fractional)
1 Na 0.500 0.500 0.500
2 Cr 0.000 0.500 0.000
3 Cr 0.000 0.000 0.500
4 Cr 0.500 0.000 0.000
5 Cu 0.000 0.000 0.000

***

(4)
# ScCoRu

A relaxed structure of ScCoRu (PBE, Alexandria via LeMat-Bulk).

## Properties
Density of states at the Fermi level (states/eV/f.u.): 6.3
Energy (eV per atom): -6.87
Energy relative to the lowest polymorph listed for this composition (eV/atom): 1.0682
Volume (Å³/cell): 52.1

Unit cell a=4.191 b=4.191 c=4.191 alpha=60.00 beta=60.00 gamma=60.00
Element x y z (fractional)
1 Co 0.000 0.000 0.000
2 Ru 0.500 0.500 0.500
3 Sc 0.750 0.750 0.750

***

(5)
# NbAsSe2N

A relaxed structure of NbAsSe2N (PBE, Alexandria via LeMat-Bulk).

## Properties
Density of states at the Fermi level (states/eV/f.u.): 4.4
Energy (eV per atom): -5.15
Energy relative to the lowest polymorph listed for this composition (eV/atom): 0.5999
Uncorrected formation energy (eV per atom): 0.85
Volume (Å³/cell): 94.1

Unit cell a=5.110 b=5.110 c=3.602 alpha=90.00 beta=90.00 gamma=90.00
Element x y z (fractional)
1 As 0.000 0.000 0.000
2 Se 0.500 0.000 0.000
3 Se 0.000 0.500 0.000
4 N 0.000 0.000 0.500
5 Nb 0.500 0.500 0.500

***

(6)
# LiMg2Pt

A relaxed structure of LiMg2Pt (PBE, Alexandria via LeMat-Bulk).

## Properties
Density of states at the Fermi level (states/eV/f.u.): 0.9
Energy (eV per atom): -3.28
Energy relative to the lowest polymorph listed for this composition (eV/atom): 0.1442
Volume (Å³/cell): 65.9

Unit cell a=4.534 b=4.534 c=4.534 alpha=60.00 beta=60.00 gamma=60.00
Element x y z (fractional)
1 Mg 0.250 0.250 0.250
2 Mg 0.000 0.000 0.000
3 Li 0.500 0.500 0.500
4 Pt 0.750 0.750 0.750